# 1
Entry from Alexandria via LeMat-Bulk: crystalline SnAs2NF at its relaxed geometry (PBE-GGA).

abc: 4.3661 4.3661 5.4290
angles: 90.00 90.00 90.00
Space group P4/mmm (No. 123)
Symmetry-distinct sites (fractional):
Sn 0.0000 0.0000 0.0000
As 0.0000 0.5000 0.5000
N 0.5000 0.5000 0.0000
F 0.0000 0.0000 0.5000

Computed properties:
The spin magnetization is 2.37 μB/f.u. The uncorrected formation energy comes out at 1073 meV per atom.

***

# 2
Entry from Alexandria via LeMat-Bulk: crystalline SrAsNF2 at its relaxed geometry (PBE-GGA).

abc: 4.4182 4.4182 5.3047
angles: 90.00 90.00 90.00
Space group P4/mmm (No. 123)
Symmetry-distinct sites (fractional):
Sr 0.0000 0.0000 0.0000
As 0.5000 0.5000 0.5000
N 0.0000 0.0000 0.5000
F 0.0000 0.5000 0.0000

Computed properties:
The spin magnetization is 0.00 μB/f.u. The uncorrected formation energy comes out at -524 meV per atom. As for the excess energy over the best structure of this formula in the dataset: 841 meV/atom.

***

# 3
Entry from Alexandria via LeMat-Bulk: crystalline SrAsNF2 at its relaxed geometry (PBE-GGA).

abc: 4.4531 4.4531 3.9922
angles: 90.00 90.00 90.00
Space group P4/mmm (No. 123)
Symmetry-distinct sites (fractional):
Sr 0.0000 0.0000 0.0000
As 0.5000 0.5000 0.5000
N 0.5000 0.5000 0.0000
F 0.0000 0.5000 0.5000

Computed properties:
The spin magnetization is 0.00 μB/f.u. The uncorrected formation energy comes out at -1366 meV per atom. As for the excess energy over the best structure of this formula in the dataset: 0 meV/atom.

***

# 4
Entry from Alexandria via LeMat-Bulk: crystalline SrAsN2F at its relaxed geometry (PBE-GGA).

abc: 3.8595 3.8595 4.4530
angles: 90.00 90.00 90.00
Space group P4/mmm (No. 123)
Symmetry-distinct sites (fractional):
Sr 0.0000 0.0000 0.0000
As 0.5000 0.5000 0.5000
N 0.0000 0.5000 0.5000
F 0.5000 0.5000 0.0000

Computed properties:
The spin magnetization is 0.00 μB/f.u. The uncorrected formation energy comes out at -572 meV per atom. As for the excess energy over the best structure of this formula in the dataset: 0 meV/atom.

***

# 5
Entry from Alexandria via LeMat-Bulk: crystalline Sr5As2NF at its relaxed geometry (PBE-GGA).

abc: 4.9821 7.5570 15.0180
angles: 90.00 90.00 90.00
Space group Immm (No. 71)
Symmetry-distinct sites (fractional):
Sr 0.0000 0.0000 0.0000
Sr 0.0000 0.2713 0.3617
As 0.0000 0.0000 0.2063
N 0.0000 0.5000 0.5000
F 0.0000 0.5000 0.0000

Computed properties:
The spin magnetization is 0.00 μB/f.u. The uncorrected formation energy comes out at -1177 meV per atom.

***

# 6
Entry from Alexandria via LeMat-Bulk: crystalline SrAsN2F at its relaxed geometry (PBE-GGA).

abc: 5.0598 5.0598 4.5027
angles: 90.00 90.00 90.00
Space group P4/mmm (No. 123)
Symmetry-distinct sites (fractional):
Sr 0.0000 0.0000 0.0000
As 0.5000 0.5000 0.5000
N 0.0000 0.5000 0.0000
F 0.0000 0.0000 0.5000

Computed properties:
The spin magnetization is 2.00 μB/f.u. The uncorrected formation energy comes out at 789 meV per atom. As for the excess energy over the best structure of this formula in the dataset: 1361 meV/atom.

***

# 7
Entry from Alexandria via LeMat-Bulk: crystalline TaAsN2F at its relaxed geometry (PBE-GGA).

abc: 4.1107 4.1107 4.0047
angles: 90.00 90.00 90.00
Space group P4/mmm (No. 123)
Symmetry-distinct sites (fractional):
Ta 0.0000 0.0000 0.0000
As 0.5000 0.5000 0.5000
N 0.0000 0.5000 0.0000
F 0.0000 0.0000 0.5000

Computed properties:
The spin magnetization is 0.00 μB/f.u. The uncorrected formation energy comes out at -257 meV per atom. As for the excess energy over the best structure of this formula in the dataset: 0 meV/atom.

***

# 8
Entry from Alexandria via LeMat-Bulk: crystalline TaAsN2F at its relaxed geometry (PBE-GGA).

abc: 3.9953 3.9953 3.7281
angles: 90.00 90.00 90.00
Space group P4/mmm (No. 123)
Symmetry-distinct sites (fractional):
Ta 0.0000 0.0000 0.0000
As 0.5000 0.5000 0.5000
N 0.0000 0.5000 0.5000
F 0.5000 0.5000 0.0000

Computed properties:
The spin magnetization is 1.76 μB/f.u. The uncorrected formation energy comes out at 776 meV per atom. As for the excess energy over the best structure of this formula in the dataset: 1033 meV/atom.

***

# 9
Entry from Alexandria via LeMat-Bulk: crystalline Te2AsNF at its relaxed geometry (PBE-GGA).

abc: 4.8362 4.8362 4.5607
angles: 90.00 90.00 90.00
Space group P4/mmm (No. 123)
Symmetry-distinct sites (fractional):
Te 0.0000 0.5000 0.0000
As 0.0000 0.0000 0.5000
N 0.5000 0.5000 0.5000
F 0.5000 0.5000 0.0000

Computed properties:
The spin magnetization is 2.66 μB/f.u. The uncorrected formation energy comes out at 1066 meV per atom. As for the excess energy over the best structure of this formula in the dataset: 409 meV/atom.

***

# 10
Entry from Alexandria via LeMat-Bulk: crystalline Te2AsNF at its relaxed geometry (PBE-GGA).

abc: 5.5644 5.5644 3.5569
angles: 90.00 90.00 90.00
Space group P4/mmm (No. 123)
Symmetry-distinct sites (fractional):
Te 0.0000 0.5000 0.0000
As 0.0000 0.0000 0.0000
N 0.0000 0.0000 0.5000
F 0.5000 0.5000 0.5000

Computed properties:
The spin magnetization is 0.00 μB/f.u. The uncorrected formation energy comes out at 657 meV per atom. As for the excess energy over the best structure of this formula in the dataset: 0 meV/atom.

***

# 11
Entry from Alexandria via LeMat-Bulk: crystalline TlAsN2F at its relaxed geometry (PBE-GGA).

abc: 4.3579 4.3579 4.3466
angles: 90.00 90.00 90.00
Space group P4/mmm (No. 123)
Symmetry-distinct sites (fractional):
Tl 0.0000 0.0000 0.0000
As 0.5000 0.5000 0.5000
N 0.0000 0.5000 0.0000
F 0.0000 0.0000 0.5000

Computed properties:
The spin magnetization is 0.49 μB/f.u. The uncorrected formation energy comes out at 1355 meV per atom. As for the excess energy over the best structure of this formula in the dataset: 902 meV/atom.

***

# 12
Entry from Alexandria via LeMat-Bulk: crystalline TlAsN2F at its relaxed geometry (PBE-GGA).

abc: 3.8128 3.8128 4.9646
angles: 90.00 90.00 90.00
Space group P4/mmm (No. 123)
Symmetry-distinct sites (fractional):
Tl 0.0000 0.0000 0.0000
As 0.5000 0.5000 0.5000
N 0.0000 0.5000 0.5000
F 0.5000 0.5000 0.0000

Computed properties:
The spin magnetization is 0.91 μB/f.u. The uncorrected formation energy comes out at 453 meV per atom. As for the excess energy over the best structure of this formula in the dataset: 0 meV/atom.